A relaxed Ca2TlBi2 crystal. Source: Alexandria, functional PBE.

Cell: 9.532 9.532 3.646 Å, 90.00 90.00 90.00°
Sites, in units of the cell vectors:
Ca: 0.140 0.360 0.000
Ca: 0.360 0.860 0.000
Ca: 0.640 0.140 0.000
Ca: 0.860 0.640 0.000
Tl: 0.000 0.000 0.500
Tl: 0.500 0.500 0.500
Bi: 0.158 0.658 0.500
Bi: 0.342 0.158 0.500
Bi: 0.658 0.842 0.500
Bi: 0.842 0.342 0.500

Output
Energy of formation in eV per atom: -0.554
DFT total energy in eV/f.u.: -16.902
SG: P4/mbm